A plane-wave DFT calculation with PBE was carried out for an optimized crystal structure of ZrPO2.

Unit cell a=3.0953 b=3.0953 c=19.5107 alpha=90.00 beta=90.00 gamma=120.00
Space group R-3m (No. 166, hexagonal axes)
Inequivalent atoms, fractional coordinates:
1 Zr 0.0000 0.0000 0.0000 [3 per cell]
2 P 0.0000 0.0000 0.5000 [3 per cell]
3 O 0.0000 0.0000 0.3983 [6 per cell]

Properties
Formation energy from raw total energies, eV per atom: -1.648
Calculated total energy, eV/f.u.: -30.47
Total moment, μB per formula unit: 0.0

A plane-wave DFT calculation with PBE was carried out for an optimized crystal structure of MgTa3.

Unit cell a=6.2947 b=9.7838 c=4.7757 alpha=90.00 beta=90.00 gamma=90.00
Space group Cmcm (No. 63)
Inequivalent atoms, fractional coordinates:
1 Mg 0.0000 0.1578 0.2500 [4 per cell]
2 Ta 0.0000 0.3653 0.7500 [4 per cell]
3 Ta 0.2443 0.1009 0.7500 [8 per cell]

Properties
ΔE_f, eV per atom: 0.24
Calculated total energy, eV/f.u.: -36.21
Total moment, μB per formula unit: 0.0